No. 1
# NaAcSn2Hg2

A relaxed structure of NaAcSn2Hg2 (PBE, Alexandria via LeMat-Bulk).

The structure in extended XYZ format:
```
6
Lattice="4.9549 0.0000 0.0000 -2.4775 4.2911 0.0000 0.0000 0.0000 7.9273" Properties=species:S:1:pos:R:3 pbc="T T T"
Sn 0.0000 2.8607 1.9671
Na 0.0000 0.0000 3.9636
Hg 0.0000 2.8607 5.5291
Ac 0.0000 0.0000 0.0000
Hg 2.4775 1.4304 2.3982
Sn 2.4775 1.4304 5.9602
```

Results
D(E_F) = 1.641 states/eV/f.u.
formation enthalpy at 0 K = -0.380 eV per atom
calculated total energy = -16.32 eV for the cell shown
SG = P-3m1, No. 164

No. 2
# VSbI2

A relaxed structure of VSbI2 (PBE, Alexandria via LeMat-Bulk).

The structure in extended XYZ format:
```
8
Lattice="-1.3804 8.9219 4.7913 -10.0429 -1.8282 0.5109 -5.3755 2.3502 4.9762" Properties=species:S:1:pos:R:3 pbc="T T T"
Sb -6.2338 7.4095 6.2093
I -3.2541 4.5914 3.5808
I -8.0012 1.9040 2.8839
V -10.5650 2.0344 4.0691
I -12.5144 8.2451 8.2946
Sb 0.0000 0.0000 0.0000
I -9.8281 4.1474 5.7974
V -5.7117 3.5469 2.6511
```

Results
D(E_F) = 1.942 states/eV/f.u.
calculated total energy = -32.11 eV for the cell shown
ΔE to the lowest computed polymorph = 0.00 eV per formula unit
SG = I-42d, No. 122

No. 3
# Ba3Nb2N5Cl2

A relaxed structure of Ba3Nb2N5Cl2 (PBE, Alexandria via LeMat-Bulk).

The structure in extended XYZ format:
```
12
Lattice="-3.6696 1.9139 -0.1942 -0.9070 -2.0901 -3.4606 -3.1760 -9.6473 9.1391" Properties=species:S:1:pos:R:3 pbc="T T T"
Ba -1.7612 -3.1378 2.3566
N -2.2883 -0.0881 -1.8274
Cl -3.2151 -5.7282 4.3022
N -6.3326 -7.0566 5.9215
N -2.8012 -0.7649 1.1961
Nb -3.0939 -1.5234 -0.7494
Ba 0.0000 0.0000 0.0000
Nb -4.6587 -8.3001 6.2338
N -1.4199 -2.7668 -0.4371
Ba -5.9914 -6.6857 3.1277
Cl -4.5374 -4.0952 1.1822
N -4.9513 -9.0586 4.2883
```

Results
D(E_F) = 0.928 states/eV/f.u.
calculated total energy = -86.33 eV for the cell shown
SG = I4/mmm, No. 139

No. 4
# Sc3TlPt

A relaxed structure of Sc3TlPt (PBE, Alexandria via LeMat-Bulk).

The structure in extended XYZ format:
```
5
Lattice="-5.2035 0.4094 0.3750 0.1737 -2.1569 4.7647 0.5273 4.7502 2.1311" Properties=species:S:1:pos:R:3 pbc="T T T"
Tl 0.0000 0.0000 0.0000
Sc -2.6017 0.2047 0.1875
Sc 0.0869 -1.0785 2.3823
Sc 0.2637 2.3751 1.0656
Pt -2.2512 1.5014 3.6354
```

Results
D(E_F) = 7.116 states/eV/f.u.
formation enthalpy at 0 K = 0.622 eV per atom
calculated total energy = -24.29 eV for the cell shown
ΔE to the lowest computed polymorph = 5.96 eV per formula unit
SG = Pm-3m, No. 221

No. 5
# TaIr2Cl

A relaxed structure of TaIr2Cl (PBE, Alexandria via LeMat-Bulk).

The structure in extended XYZ format:
```
4
Lattice="-2.7214 0.7864 -0.2419 -0.6903 -1.0136 4.4722 1.1835 4.4627 1.1941" Properties=species:S:1:pos:R:3 pbc="T T T"
Ir -1.7059 -0.1136 2.1152
Ir 0.0000 0.0000 0.0000
Cl 0.2466 1.7245 2.8332
Ta -0.7690 2.6245 0.4761
```

Results
D(E_F) = 2.499 states/eV/f.u.
calculated total energy = -29.94 eV for the cell shown
ΔE to the lowest computed polymorph = 1.53 eV per formula unit
SG = Pmmm, No. 47

No. 6
# Sm2Dy6Y3

A relaxed structure of Sm2Dy6Y3 (PBE, Alexandria via LeMat-Bulk).

The structure in extended XYZ format:
```
11
Lattice="-3.6249 2.6985 4.1399 1.4444 -0.2429 5.9595 4.8023 10.6385 0.3337" Properties=species:S:1:pos:R:3 pbc="T T T"
Dy 3.7862 8.1282 2.5827
Sm 2.7612 5.6064 4.8313
Y 0.0000 0.0000 0.0000
Dy -1.1643 4.9658 7.8504
Y -0.7361 0.8230 3.3554
Sm -0.1394 7.4876 5.6017
Dy -0.4349 4.1460 4.4871
Dy 0.8830 10.0090 3.3578
Dy 0.2945 3.3279 1.1157
Dy 3.0567 8.9480 5.9460
Y -1.4444 1.6325 6.7440
```

Results
D(E_F) = 18.693 states/eV/f.u.
formation enthalpy at 0 K = 0.189 eV per atom
calculated total energy = -54.37 eV for the cell shown
ΔE to the lowest computed polymorph = 0.00 eV per formula unit
SG = C2/m, No. 12

No. 7
# Ca2CuGeN

A relaxed structure of Ca2CuGeN (PBE, Alexandria via LeMat-Bulk).

The structure in extended XYZ format:
```
5
Lattice="5.0634 0.0000 0.0000 0.0000 5.0634 0.0000 0.0000 0.0000 3.6915" Properties=species:S:1:pos:R:3 pbc="T T T"
Ca 2.5317 0.0000 0.0000
Ca 0.0000 2.5317 0.0000
N 0.0000 0.0000 0.0000
Cu 0.0000 0.0000 1.8457
Ge 2.5317 2.5317 1.8457
```

Results
D(E_F) = 3.493 states/eV/f.u.
calculated total energy = -23.23 eV for the cell shown
SG = P4/mmm, No. 123

No. 8
# Rb2UTiS6

A relaxed structure of Rb2UTiS6 (PBE, Alexandria via LeMat-Bulk).

The structure in extended XYZ format:
```
10
Lattice="-6.6581 2.2795 -0.7932 -3.6884 -1.7586 -5.8105 -5.3557 -4.6279 0.4457" Properties=species:S:1:pos:R:3 pbc="T T T"
U -11.3858 -2.2309 -5.1361
Rb -4.9845 -3.6628 -0.0777
Ti -3.5162 -0.2848 -2.0408
S -5.6260 -0.1280 -0.7303
S -2.3311 -1.2970 -0.3448
S -8.3266 -2.5714 -0.5108
S -6.8606 -4.4630 -2.9897
S -4.1225 -2.1633 -3.1676
S -10.1223 -3.4137 -3.3374
Rb -7.4691 -1.0878 -3.6094
```

Results
calculated total energy = -58.19 eV for the cell shown
SG = Cm, No. 8

No. 9
# SbRhN2

A relaxed structure of SbRhN2 (PBE, Alexandria via LeMat-Bulk).

The structure in extended XYZ format:
```
4
Lattice="-2.1086 -2.1627 5.8050 0.8507 -3.3227 5.5729 0.3876 -0.3166 6.5246" Properties=species:S:1:pos:R:3 pbc="T T T"
N -0.1003 -0.6690 2.0643
Sb 0.0000 0.0000 0.0000
Rh -0.4351 -2.9010 8.9512
N -0.7699 -5.1329 15.8382
```

Results
D(E_F) = 2.730 states/eV/f.u.
calculated total energy = -25.48 eV for the cell shown
SG = R-3m, No. 166

No. 10
# Ac6FeHg2

A relaxed structure of Ac6FeHg2 (PBE, Alexandria via LeMat-Bulk).

The structure in extended XYZ format:
```
18
Lattice="-0.9739 -1.5055 7.3895 2.1608 -7.5295 -1.2492 10.5128 2.6573 2.1676" Properties=species:S:1:pos:R:3 pbc="T T T"
Ac 4.5026 -1.3368 5.9336
Hg 2.5253 -3.9661 7.1479
Fe 5.2564 1.3287 1.0838
Ac 8.3917 -2.5739 5.4822
Hg 4.1633 -7.0440 3.3477
Ac 6.2207 -1.0679 2.2376
Ac 3.3081 -3.8037 2.8256
Ac 5.4791 -5.3098 6.0703
Ac 0.2743 -2.4418 4.9659
Ac 10.4759 -0.0567 3.1897
Ac 2.5965 0.4242 1.2967
Ac 7.1972 -5.0408 2.3743
Hg 7.5365 0.6663 4.9602
Ac 1.2239 -6.3209 5.1182
Ac 11.4255 -3.9359 3.3419
Ac 9.1033 -6.8018 7.0112
Fe 0.5935 -4.5175 3.0701
Hg 9.1745 -2.4115 1.1599
```

Results
D(E_F) = 10.079 states/eV/f.u.
formation enthalpy at 0 K = -0.142 eV per atom
calculated total energy = -70.00 eV for the cell shown
SG = P2_1/c, No. 14

No. 11
# Sc2MnCl

A relaxed structure of Sc2MnCl (PBE, Alexandria via LeMat-Bulk).

The structure in extended XYZ format:
```
4
Lattice="-1.3683 4.1828 -8.4418 -1.3834 1.0313 -9.3624 -4.1320 2.4231 -8.2272" Properties=species:S:1:pos:R:3 pbc="T T T"
Mn -5.1338 5.6957 -19.4139
Cl -3.5152 3.9000 -13.2931
Sc -0.0165 0.0183 -0.0624
Sc -1.6601 1.8418 -6.2778
```

Results
D(E_F) = 1.824 states/eV/f.u.
calculated total energy = -25.06 eV for the cell shown
ΔE to the lowest computed polymorph = 0.99 eV per formula unit
SG = R3m, No. 160

No. 12
# Ca2LaCl

A relaxed structure of Ca2LaCl (PBE, Alexandria via LeMat-Bulk).

The structure in extended XYZ format:
```
4
Lattice="3.6523 0.0000 0.0000 0.0000 3.6295 -0.0007 0.0000 1.8194 10.2426" Properties=species:S:1:pos:R:3 pbc="T T T"
Ca 1.8261 1.5875 3.1501
Cl 0.0000 3.4082 4.7974
Ca 0.0000 3.3998 0.0959
La 1.8261 3.4073 7.3189
```

Results
D(E_F) = 4.713 states/eV/f.u.
calculated total energy = -13.33 eV for the cell shown
ΔE to the lowest computed polymorph = 0.69 eV per formula unit
SG = Pm, No. 6

No. 13
# BeCdRe2

A relaxed structure of BeCdRe2 (PBE, Alexandria via LeMat-Bulk).

The structure in extended XYZ format:
```
4
Lattice="2.9896 0.0000 0.0000 0.0000 2.9879 0.0105 0.0000 2.9788 6.7347" Properties=species:S:1:pos:R:3 pbc="T T T"
Be 0.0000 2.9795 3.0796
Cd 1.4948 4.4790 4.9004
Re 1.4948 1.4910 1.8154
Re 0.0000 2.9884 0.3330
```

Results
D(E_F) = 1.129 states/eV/f.u.
formation enthalpy at 0 K = 0.159 eV per atom
calculated total energy = -28.90 eV for the cell shown
ΔE to the lowest computed polymorph = 0.00 eV per formula unit
SG = Pm, No. 6

No. 14
# Pr2InPd2Pt5

A relaxed structure of Pr2InPd2Pt5 (PBE, Alexandria via LeMat-Bulk).

The structure in extended XYZ format:
```
20
Lattice="4.2070 0.0000 0.0000 0.0000 9.5861 0.0000 0.0000 0.0000 9.5861" Properties=species:S:1:pos:R:3 pbc="T T T"
Pr 0.0000 6.4431 1.6500
Pt 2.1035 1.9609 0.5919
In 0.0000 4.7930 4.7930
Pt 2.1035 6.7539 4.2012
Pt 2.1035 0.5919 7.6252
Pr 0.0000 1.6500 3.1430
Pt 2.1035 4.2012 2.8322
Pd 0.0000 8.3780 3.5850
Pt 2.1035 2.8322 5.3849
Pr 0.0000 3.1430 7.9361
Pt 2.1035 0.0000 4.7930
Pt 2.1035 8.9942 1.9609
Pt 2.1035 7.6252 8.9942
Pd 0.0000 3.5850 1.2081
Pt 2.1035 5.3849 6.7539
In 0.0000 0.0000 0.0000
Pr 0.0000 7.9361 6.4431
Pd 0.0000 6.0011 8.3780
Pd 0.0000 1.2081 6.0011
Pt 2.1035 4.7930 0.0000
```

Results
D(E_F) = 4.782 states/eV/f.u.
formation enthalpy at 0 K = -0.754 eV per atom
calculated total energy = -120.86 eV for the cell shown
SG = P4/mbm, No. 127

No. 15
# PmInF2

A relaxed structure of PmInF2 (PBE, Alexandria via LeMat-Bulk).

The structure in extended XYZ format:
```
4
Lattice="-2.0699 -1.5380 -3.0279 -3.1040 -2.3803 0.7190 -6.3429 4.7419 -0.6846" Properties=species:S:1:pos:R:3 pbc="T T T"
F -6.5288 -2.1440 -2.2840
In -5.7584 0.4118 -1.4968
F -4.9880 2.9675 -0.7096
Pm 0.0000 0.0000 0.0000
```

Results
D(E_F) = 1.671 states/eV/f.u.
calculated total energy = -19.14 eV for the cell shown
SG = R-3m, No. 166

No. 16
# KTaBr5

A relaxed structure of KTaBr5 (PBE, Alexandria via LeMat-Bulk).

The structure in extended XYZ format:
```
14
Lattice="-8.2577 -1.8229 -0.7651 -4.4782 -5.2118 4.9881 -5.1345 5.6760 6.7165" Properties=species:S:1:pos:R:3 pbc="T T T"
Br -6.7801 -0.0898 7.2387
Ta -2.5673 2.8380 3.3582
Br -3.9055 -3.3909 3.2834
Br -6.1263 -3.4660 6.1124
Br -11.0904 -1.2689 3.7007
Br -11.5614 -0.3105 10.2498
K -10.1039 0.6366 7.3238
Br -6.3090 -1.0482 0.6896
Br -11.7441 2.1073 4.8270
Ta -5.1345 5.6760 6.7164
K -7.7665 -1.9953 3.6156
Br -8.4785 1.2456 3.5885
Br -13.9649 2.0322 7.6560
Br -9.3919 -2.6043 7.3509
```

Results
D(E_F) = 4.571 states/eV/f.u.
calculated total energy = -57.25 eV for the cell shown
SG = C2/c, No. 15

No. 17
# ScMnIn3

A relaxed structure of ScMnIn3 (PBE, Alexandria via LeMat-Bulk).

The structure in extended XYZ format:
```
5
Lattice="-0.5071 2.7407 4.0744 2.5602 -3.3478 2.5706 4.1902 2.3771 -1.0775" Properties=species:S:1:pos:R:3 pbc="T T T"
In 2.0951 1.1886 -0.5387
In 1.2801 -1.6739 1.2853
Mn 0.0000 0.0000 0.0000
In -0.2536 1.3704 2.0372
Sc 3.1216 0.8850 2.7838
```

Results
D(E_F) = 5.402 states/eV/f.u.
formation enthalpy at 0 K = 0.330 eV per atom
calculated total energy = -22.07 eV for the cell shown
ΔE to the lowest computed polymorph = 0.00 eV per formula unit
SG = Pm-3m, No. 221

No. 18
# BaAl2F8

A relaxed structure of BaAl2F8 (PBE, Alexandria via LeMat-Bulk).

The structure in extended XYZ format:
```
11
Lattice="4.8040 0.0000 0.0000 0.0000 4.8040 0.0000 0.0000 0.0000 6.3202" Properties=species:S:1:pos:R:3 pbc="T T T"
F 3.6070 1.1970 5.1933
F 3.6070 3.6070 5.1933
F 1.1970 3.6070 1.1269
F 1.1970 1.1970 5.1933
F 1.1970 1.1970 1.1269
F 3.6070 3.6070 1.1269
Al 0.0000 2.4020 0.0000
F 3.6070 1.1970 1.1269
F 1.1970 3.6070 5.1933
Ba 2.4020 2.4020 3.1601
Al 2.4020 0.0000 0.0000
```

Results
D(E_F) = 0.000 states/eV/f.u.
calculated total energy = -59.44 eV for the cell shown
SG = P4/mmm, No. 123

No. 19
# CuP2SCl

A relaxed structure of CuP2SCl (PBE, Alexandria via LeMat-Bulk).

The structure in extended XYZ format:
```
5
Lattice="-2.8617 2.1025 -2.8387 -3.3681 -0.5223 3.0085 1.1361 4.2631 2.0121" Properties=species:S:1:pos:R:3 pbc="T T T"
S 0.5681 2.1315 1.0060
Cu -2.5468 2.9216 1.0909
P -1.6841 -0.2612 1.5042
Cl 0.0000 0.0000 0.0000
P -1.4308 1.0512 -1.4194
```

Results
D(E_F) = 5.253 states/eV/f.u.
calculated total energy = -13.34 eV for the cell shown
ΔE to the lowest computed polymorph = 3.33 eV per formula unit
SG = P4/mmm, No. 123

No. 20
# VCrC2

A relaxed structure of VCrC2 (PBE, Alexandria via LeMat-Bulk).

The structure in extended XYZ format:
```
4
Lattice="1.2947 -3.3729 0.1270 -2.1848 -2.7428 0.8791 -0.9791 -2.4078 -2.5126" Properties=species:S:1:pos:R:3 pbc="T T T"
Cr -0.9346 -4.2618 -0.7532
V 0.0000 0.0000 0.0000
C -0.4673 -2.1309 -0.3766
C -1.4019 -6.3926 -1.1298
```

Results
D(E_F) = 1.673 states/eV/f.u.
formation enthalpy at 0 K = 0.512 eV per atom
calculated total energy = -35.14 eV for the cell shown
SG = Fm-3m, No. 225

No. 21
# K4Ho3SnTe8

A relaxed structure of K4Ho3SnTe8 (PBE, Alexandria via LeMat-Bulk).

The structure in extended XYZ format:
```
16
Lattice="8.9924 0.0000 0.0000 0.0000 9.7246 0.5050 -4.4962 -4.4952 6.3610" Properties=species:S:1:pos:R:3 pbc="T T T"
K -2.2481 -2.2476 3.1805
Te 4.4962 4.7638 3.3625
Te 2.2397 2.4984 6.5247
Ho 2.2481 2.6147 3.4330
K 0.0000 0.0000 0.0000
Te 6.7359 2.7309 0.3413
Te 0.0000 0.4656 3.5035
Te 2.2565 2.7309 0.3413
Te -2.2397 2.4984 6.5247
K 2.2481 -2.2476 3.1805
Te 4.4962 0.4916 3.5094
Sn 0.0000 4.8623 0.2525
Te 0.0000 4.7377 3.3565
Ho -2.2481 2.6147 3.4330
K 4.4962 0.0000 0.0000
Ho 4.4962 4.8623 0.2525
```

Results
D(E_F) = 2.125 states/eV/f.u.
calculated total energy = -66.04 eV for the cell shown
SG = C2/m, No. 12

No. 22
# Cs4In3Hg2

A relaxed structure of Cs4In3Hg2 (PBE, Alexandria via LeMat-Bulk).

The structure in extended XYZ format:
```
9
Lattice="-0.3669 -4.6878 1.8772 8.8430 -0.6377 0.1361 -2.2530 6.1371 8.0577" Properties=species:S:1:pos:R:3 pbc="T T T"
In 4.4215 -0.3188 0.0681
In 2.0158 0.5269 1.7099
Cs -1.0371 3.1426 7.6451
Hg 2.8181 2.7586 7.4396
Hg 3.4050 -1.9469 2.6314
Cs 1.2058 -0.5645 5.6537
Cs 7.2601 -2.3310 2.4259
In 4.2072 0.2847 8.3611
Cs 5.0173 1.3762 4.4173
```

Results
D(E_F) = 4.914 states/eV/f.u.
formation enthalpy at 0 K = -0.123 eV per atom
calculated total energy = -13.34 eV for the cell shown
SG = C2/m, No. 12

No. 23
# CrHAu3

A relaxed structure of CrHAu3 (PBE, Alexandria via LeMat-Bulk).

The structure in extended XYZ format:
```
5
Lattice="4.8658 0.0000 0.0000 0.0000 4.8658 0.0000 0.0000 0.0000 4.8658" Properties=species:S:1:pos:R:3 pbc="T T T"
Au 0.0000 0.0000 2.4329
Cr 0.0000 0.0000 0.0000
Au 2.4329 0.0000 0.0000
H 2.4329 2.4329 2.4329
Au 0.0000 2.4329 0.0000
```

Results
D(E_F) = 4.482 states/eV/f.u.
calculated total energy = -15.40 eV for the cell shown
ΔE to the lowest computed polymorph = 5.84 eV per formula unit
SG = Pm-3m, No. 221

No. 24
# Tm3CoNi

A relaxed structure of Tm3CoNi (PBE, Alexandria via LeMat-Bulk).

The structure in extended XYZ format:
```
10
Lattice="3.7125 0.0001 0.0002 -1.8555 7.5315 0.4562 0.0002 0.2001 7.7027" Properties=species:S:1:pos:R:3 pbc="T T T"
Co 1.7947 1.8492 1.0368
Ni 1.7953 5.0420 6.3461
Ni -0.0606 3.9305 5.1278
Tm -0.0610 1.5536 3.0349
Tm -0.0601 6.7208 5.4189
Tm 1.7947 2.2550 6.0585
Co -0.0605 6.9288 2.7376
Tm 1.7958 4.8272 3.3068
Tm -0.0613 3.9506 0.4672
Tm 1.7953 7.2243 0.7399
```

Results
D(E_F) = 4.339 states/eV/f.u.
formation enthalpy at 0 K = -0.261 eV per atom
calculated total energy = -55.22 eV for the cell shown
ΔE to the lowest computed polymorph = 0.09 eV per formula unit
SG = C2/m, No. 12